Compound: SiAgSb2
Source: OQMD
Functional: PBE-GGA
Structure: optimized geometry

## Properties
* total DFT energy (no corrections): -0.1342 Ha/atom

Cell: 7.128 7.128 7.128 Å, 90.00 90.00 90.00°
Space group F-43m (No. 216)
Symmetry-distinct sites (fractional):
Si: 0.000 0.000 0.000
Ag: 0.250 0.250 0.250
Sb: 0.000 0.000 0.500
Sb: 0.250 0.250 0.750